Entry i
Th2ZrAu: relaxed, PBE.

Structure (POSCAR):
```
Th2ZrAu
1.0
1.681 0.970 11.235
-1.681 0.970 11.235
0.000 -1.941 11.235
Th Zr Au
2 1 1
Direct
0.092 0.092 0.092
0.908 0.908 0.908
0.000 0.000 0.000
0.500 0.500 0.500
```

Properties
volume	27.5	Å³/atom
DOS at the Fermi energy	5.553	states/eV/cell
crystal system	trigonal

Entry ii
Th2ZrAu: relaxed, PBE.

Structure (POSCAR):
```
Th2ZrAu
1.0
3.493 0.000 0.000
0.000 3.493 0.000
0.000 0.000 8.954
Th Zr Au
2 1 1
Direct
0.000 0.000 0.234
0.000 0.000 0.766
0.500 0.500 0.500
0.500 0.500 0.000
```

Properties
volume	27.3	Å³/atom
DOS at the Fermi energy	4.913	states/eV/cell
crystal system	tetragonal

entry ii wins, 357 meV per atom ahead of the next structure.

Entry i
ThZrAu2: relaxed, PBE.

Structure (POSCAR):
```
ThZrAu2
1.0
4.650 0.000 0.000
0.000 4.650 0.000
0.000 0.000 4.191
Th Zr Au
1 1 2
Direct
0.000 0.000 0.000
0.500 0.500 0.000
0.000 0.500 0.500
0.500 0.000 0.500
```

Properties
volume	22.7	Å³/atom
DOS at the Fermi energy	4.435	states/eV/cell
crystal system	tetragonal

Entry ii
ThZrAu2: relaxed, PBE.

Structure (POSCAR):
```
ThZrAu2
1.0
3.473 0.000 0.000
0.000 3.473 0.000
0.000 0.000 7.561
Th Zr Au
1 1 2
Direct
0.000 0.000 0.000
0.000 0.000 0.500
0.500 0.500 0.285
0.500 0.500 0.715
```

Properties
volume	22.8	Å³/atom
DOS at the Fermi energy	5.156	states/eV/cell
crystal system	tetragonal

entry ii wins, 29 meV per atom ahead of the next structure.

Entry i
Ti3Au: relaxed, PBE.

Structure (POSCAR):
```
Ti3Au
1.0
4.073 0.000 0.000
0.000 4.073 0.000
0.000 0.000 4.073
Ti Au
3 1
Direct
0.000 0.000 0.500
0.000 0.500 0.000
0.500 0.000 0.000
0.500 0.500 0.500
```

Properties
volume	16.9	Å³/atom
DOS at the Fermi energy	6.695	states/eV/cell
crystal system	cubic

Entry ii
Ti3Au: relaxed, PBE.

Structure (POSCAR):
```
Ti3Au
1.0
5.106 0.000 0.000
0.000 5.106 0.000
0.000 0.000 5.106
Ti Au
6 2
Direct
0.000 0.250 0.500
0.000 0.750 0.500
0.250 0.500 0.000
0.500 0.000 0.250
0.500 0.000 0.750
0.750 0.500 0.000
0.000 0.000 0.000
0.500 0.500 0.500
```

Properties
volume	16.6	Å³/atom
DOS at the Fermi energy	10.648	states/eV/cell
crystal system	cubic

Entry iii
Ti3Au: relaxed, PBE.

Structure (POSCAR):
```
Ti3Au
1.0
0.000 3.223 3.223
3.223 0.000 3.223
3.223 3.223 0.000
Ti Au
3 1
Direct
0.000 0.000 0.000
0.250 0.250 0.250
0.750 0.750 0.750
0.500 0.500 0.500
```

Properties
volume	16.7	Å³/atom
DOS at the Fermi energy	5.553	states/eV/cell
crystal system	cubic

entry ii wins, 124 meV per atom ahead of the next structure.

Entry i
Ti3Au: relaxed, PBE.

Structure (POSCAR):
```
Ti3Au
1.0
-1.965 1.965 4.368
1.965 -1.965 4.368
1.965 1.965 -4.368
Ti Au
3 1
Direct
0.000 0.000 0.000
0.250 0.750 0.500
0.750 0.250 0.500
0.500 0.500 0.000
```

Properties
volume	16.9	Å³/atom
DOS at the Fermi energy	6.094	states/eV/cell
crystal system	tetragonal

Entry ii
Ti3Au: relaxed, PBE.

Structure (POSCAR):
```
Ti3Au
1.0
-1.487 4.656 2.487
1.487 -4.656 2.487
1.487 4.656 -2.487
Ti Au
3 1
Direct
0.000 0.000 0.000
0.388 0.624 0.764
0.860 0.624 0.236
0.469 0.969 0.500
```

Properties
volume	17.2	Å³/atom
DOS at the Fermi energy	5.562	states/eV/cell
crystal system	orthorhombic

entry i wins, 62 meV per atom ahead of the next structure.

Entry i
Ti5Au: relaxed, PBE.

Structure (POSCAR):
```
Ti5Au
1.0
2.051 -6.160 0.000
2.051 6.160 0.000
0.000 0.000 4.063
Ti Au
5 1
Direct
0.000 0.000 0.000
0.168 0.832 0.500
0.328 0.672 0.000
0.672 0.328 0.000
0.832 0.168 0.500
0.500 0.500 0.500
```

Properties
volume	17.1	Å³/atom
DOS at the Fermi energy	8.882	states/eV/cell
crystal system	orthorhombic

Entry ii
Ti5Au: relaxed, PBE.

Structure (POSCAR):
```
Ti5Au
1.0
4.973 0.000 0.000
-2.486 4.307 0.000
0.000 0.000 4.795
Ti Au
5 1
Direct
0.000 0.325 0.000
0.325 0.000 0.000
0.333 0.667 0.500
0.667 0.333 0.500
0.675 0.675 0.000
0.000 0.000 0.500
```

Properties
volume	17.1	Å³/atom
DOS at the Fermi energy	8.991	states/eV/cell
crystal system	hexagonal

entry i wins, 60 meV per atom ahead of the next structure.

Entry i
Ti3TlAu: relaxed, PBE.

Structure (POSCAR):
```
Ti3TlAu
1.0
4.907 0.000 0.000
0.000 4.907 0.000
0.000 0.000 4.907
Ti Tl Au
3 1 1
Direct
0.000 0.000 0.500
0.000 0.500 0.000
0.500 0.000 0.000
0.500 0.500 0.500
0.000 0.000 0.000
```

Properties
volume	23.6	Å³/atom
DOS at the Fermi energy	3.637	states/eV/cell
crystal system	cubic

Entry ii
Ti3TlAu: relaxed, PBE.

Structure (POSCAR):
```
Ti3TlAu
1.0
5.072 0.000 0.000
0.000 5.072 0.000
0.000 0.000 5.072
Ti Tl Au
3 1 1
Direct
0.000 0.000 0.500
0.000 0.500 0.000
0.500 0.000 0.000
0.000 0.000 0.000
0.500 0.500 0.500
```

Properties
volume	26.1	Å³/atom
DOS at the Fermi energy	3.729	states/eV/cell
crystal system	cubic

entry i wins, 655 meV per atom ahead of the next structure.

Entry i
Ti2VAu2: relaxed, PBE.

Structure (POSCAR):
```
Ti2VAu2
1.0
-1.881 1.881 6.662
1.881 -1.881 6.662
1.881 1.881 -6.662
Ti V Au
2 1 2
Direct
0.094 0.094 0.000
0.906 0.906 0.000
0.500 0.500 0.000
0.250 0.750 0.500
0.750 0.250 0.500
```

Properties
volume	18.8	Å³/atom
DOS at the Fermi energy	5.092	states/eV/cell
crystal system	tetragonal

Entry ii
Ti2VAu2: relaxed, PBE.

Structure (POSCAR):
```
Ti2VAu2
1.0
7.223 0.000 0.000
0.000 7.223 0.000
0.000 0.000 3.322
Ti V Au
4 2 4
Direct
0.162 0.338 0.000
0.338 0.838 0.000
0.662 0.162 0.000
0.838 0.662 0.000
0.000 0.000 0.000
0.500 0.500 0.000
0.140 0.640 0.500
0.360 0.140 0.500
0.640 0.860 0.500
0.860 0.360 0.500
```

Properties
volume	17.3	Å³/atom
DOS at the Fermi energy	6.439	states/eV/cell
crystal system	tetragonal

Entry iii
Ti2VAu2: relaxed, PBE.

Structure (POSCAR):
```
Ti2VAu2
1.0
7.360 0.000 0.000
0.000 7.360 0.000
0.000 0.000 3.277
Ti V Au
4 2 4
Direct
0.171 0.329 0.000
0.329 0.829 0.000
0.671 0.171 0.000
0.829 0.671 0.000
0.000 0.000 0.500
0.500 0.500 0.500
0.132 0.632 0.500
0.368 0.132 0.500
0.632 0.868 0.500
0.868 0.368 0.500
```

Properties
volume	17.8	Å³/atom
DOS at the Fermi energy	12.864	states/eV/cell
crystal system	tetragonal

entry iii wins, 88 meV per atom ahead of the next structure.

Entry i
TiVAu: relaxed, PBE.

Structure (POSCAR):
```
TiVAu
1.0
-1.861 1.861 7.241
1.861 -1.861 7.241
1.861 1.861 -7.241
Ti V Au
2 2 2
Direct
0.177 0.177 0.000
0.823 0.823 0.000
0.000 0.500 0.500
0.500 0.000 0.500
0.362 0.362 0.000
0.638 0.638 0.000
```

Properties
volume	16.7	Å³/atom
DOS at the Fermi energy	8.734	states/eV/cell
crystal system	tetragonal

Entry ii
TiVAu: relaxed, PBE.

Structure (POSCAR):
```
TiVAu
1.0
3.181 0.000 0.000
0.000 3.181 0.000
0.000 0.000 9.461
Ti V Au
2 2 2
Direct
0.250 0.250 0.233
0.750 0.750 0.767
0.250 0.250 0.930
0.750 0.750 0.070
0.250 0.250 0.601
0.750 0.750 0.399
```

Properties
volume	16.0	Å³/atom
DOS at the Fermi energy	5.616	states/eV/cell
crystal system	tetragonal

Entry iii
TiVAu: relaxed, PBE.

Structure (POSCAR):
```
TiVAu
1.0
-1.337 1.337 7.304
1.337 -1.337 7.304
1.337 1.337 -7.304
Ti V Au
1 1 1
Direct
0.000 0.000 0.000
0.170 0.170 0.000
0.351 0.351 0.000
```

Properties
volume	17.4	Å³/atom
DOS at the Fermi energy	4.279	states/eV/cell
crystal system	tetragonal

entry ii wins, 198 meV per atom ahead of the next structure.

Entry i
TiWAu2: relaxed, PBE.

Structure (POSCAR):
```
TiWAu2
1.0
-3.699 3.699 2.674
3.699 -3.699 2.674
3.699 3.699 -2.674
Ti W Au
2 2 4
Direct
0.000 0.000 0.000
0.750 0.250 0.500
0.250 0.750 0.500
0.500 0.500 0.000
0.127 0.125 0.502
0.375 0.873 0.998
0.623 0.625 0.498
0.875 0.377 0.002
```

Properties
volume	18.3	Å³/atom
DOS at the Fermi energy	7.485	states/eV/cell
crystal system	tetragonal

Entry ii
TiWAu2: relaxed, PBE.

Structure (POSCAR):
```
TiWAu2
1.0
0.000 3.251 3.251
3.251 0.000 3.251
3.251 3.251 0.000
Ti W Au
1 1 2
Direct
0.000 0.000 0.000
0.500 0.500 0.500
0.250 0.250 0.250
0.750 0.750 0.750
```

Properties
volume	17.2	Å³/atom
DOS at the Fermi energy	5.355	states/eV/cell
crystal system	cubic

entry ii wins, 235 meV per atom ahead of the next structure.

Entry i
TiW2Au2: relaxed, PBE.

Structure (POSCAR):
```
TiW2Au2
1.0
-1.827 1.827 6.858
1.827 -1.827 6.858
1.827 1.827 -6.858
Ti W Au
1 2 2
Direct
0.000 0.000 0.000
0.250 0.750 0.500
0.750 0.250 0.500
0.405 0.405 0.000
0.595 0.595 0.000
```

Properties
volume	18.3	Å³/atom
DOS at the Fermi energy	5.052	states/eV/cell
crystal system	tetragonal

Entry ii
TiW2Au2: relaxed, PBE.

Structure (POSCAR):
```
TiW2Au2
1.0
6.791 0.000 0.000
0.000 6.791 0.000
0.000 0.000 3.808
Ti W Au
2 4 4
Direct
0.000 0.000 0.000
0.500 0.500 0.000
0.156 0.344 0.500
0.344 0.844 0.500
0.656 0.156 0.500
0.844 0.656 0.500
0.141 0.641 0.000
0.359 0.141 0.000
0.641 0.859 0.000
0.859 0.359 0.000
```

Properties
volume	17.6	Å³/atom
DOS at the Fermi energy	11.163	states/eV/cell
crystal system	tetragonal

entry i wins, 194 meV per atom ahead of the next structure.

Entry i
YTi2Au2: relaxed, PBE.

Structure (POSCAR):
```
YTi2Au2
1.0
7.764 0.000 0.000
0.000 7.764 0.000
0.000 0.000 3.308
Y Ti Au
2 4 4
Direct
0.000 0.000 0.000
0.500 0.500 0.000
0.166 0.334 0.500
0.334 0.834 0.500
0.666 0.166 0.500
0.834 0.666 0.500
0.129 0.629 0.000
0.371 0.129 0.000
0.629 0.871 0.000
0.871 0.371 0.000
```

Properties
volume	19.9	Å³/atom
DOS at the Fermi energy	11.594	states/eV/cell
crystal system	tetragonal

Entry ii
YTi2Au2: relaxed, PBE.

Structure (POSCAR):
```
YTi2Au2
1.0
-1.985 1.985 6.626
1.985 -1.985 6.626
1.985 1.985 -6.626
Y Ti Au
1 2 2
Direct
0.000 0.000 0.000
0.250 0.750 0.500
0.750 0.250 0.500
0.395 0.395 0.000
0.605 0.605 0.000
```

Properties
volume	20.9	Å³/atom
DOS at the Fermi energy	6.525	states/eV/cell
crystal system	tetragonal

entry ii wins, 65 meV per atom ahead of the next structure.

Entry i
Y2TiAu2: relaxed, PBE.

Structure (POSCAR):
```
Y2TiAu2
1.0
8.261 0.000 0.000
0.000 8.261 0.000
0.000 0.000 3.451
Y Ti Au
4 2 4
Direct
0.157 0.343 0.000
0.343 0.843 0.000
0.657 0.157 0.000
0.843 0.657 0.000
0.000 0.000 0.000
0.500 0.500 0.000
0.141 0.641 0.500
0.359 0.141 0.500
0.641 0.859 0.500
0.859 0.359 0.500
```

Properties
volume	23.6	Å³/atom
DOS at the Fermi energy	6.042	states/eV/cell
crystal system	tetragonal

Entry ii
Y2TiAu2: relaxed, PBE.

Structure (POSCAR):
```
Y2TiAu2
1.0
7.508 0.000 0.000
0.000 7.508 0.000
0.000 0.000 4.181
Y Ti Au
4 2 4
Direct
0.169 0.331 0.000
0.331 0.831 0.000
0.669 0.169 0.000
0.831 0.669 0.000
0.000 0.000 0.500
0.500 0.500 0.500
0.137 0.637 0.500
0.363 0.137 0.500
0.637 0.863 0.500
0.863 0.363 0.500
```

Properties
volume	23.6	Å³/atom
DOS at the Fermi energy	11.410	states/eV/cell
crystal system	tetragonal

entry ii wins, 168 meV per atom ahead of the next structure.